# 1
YSi3Au3 | PBE | relaxed

Properties
E_form (uncorrected)   0.007 eV/atom
Calculated density   8.04 g cm⁻³
DOS(E_F)   8.36 states/eV per cell

Cell: 6.808 6.808 6.808 Å, 90.00 90.00 90.00°
Fractional positions:
Y 0.000 0.000 0.000
Y 0.500 0.500 0.500
Si 0.000 0.250 0.500
Si 0.000 0.750 0.500
Si 0.250 0.500 0.000
Si 0.500 0.000 0.250
Si 0.500 0.000 0.750
Si 0.750 0.500 0.000
Au 0.000 0.500 0.250
Au 0.000 0.500 0.750
Au 0.250 0.000 0.500
Au 0.500 0.250 0.000
Au 0.500 0.750 0.000
Au 0.750 0.000 0.500

=====

# 2
Y3Si4Au2 | PBE | relaxed

Properties
E_form (uncorrected)   -0.799 eV/atom
Calculated density   7.02 g cm⁻³
DOS(E_F)   4.68 states/eV per cell

Cell: 5.790 5.790 8.207 Å, 101.54 101.54 42.87°
Fractional positions:
Y 0.000 0.000 0.000
Y 0.337 0.337 0.327
Y 0.663 0.663 0.673
Si 0.055 0.055 0.392
Si 0.276 0.276 0.948
Si 0.724 0.724 0.052
Si 0.945 0.945 0.608
Au 0.386 0.386 0.719
Au 0.614 0.614 0.281

=====

# 3
Y2Si2Au | PBE | relaxed

Properties
E_form (uncorrected)   -0.806 eV/atom
Calculated density   6.98 g cm⁻³
DOS(E_F)   4.70 states/eV per cell

Cell: 6.900 6.900 4.306 Å, 90.00 90.00 90.00°
Fractional positions:
Y 0.175 0.325 0.000
Y 0.325 0.825 0.000
Y 0.675 0.175 0.000
Y 0.825 0.675 0.000
Si 0.124 0.624 0.500
Si 0.376 0.124 0.500
Si 0.624 0.876 0.500
Si 0.876 0.376 0.500
Au 0.000 0.000 0.500
Au 0.500 0.500 0.500

=====

# 4
YSiAu2 | PBE | relaxed

Properties
E_form (uncorrected)   -0.435 eV/atom
Calculated density   10.68 g cm⁻³
DOS(E_F)   2.23 states/eV per cell

Cell: 4.249 4.249 4.398 Å, 90.00 90.00 90.00°
Fractional positions:
Y 0.000 0.000 0.000
Si 0.500 0.500 0.000
Au 0.000 0.500 0.500
Au 0.500 0.000 0.500

=====

# 5
Y3Si4Au7 | PBE | relaxed

Properties
E_form (uncorrected)   -0.593 eV/atom
Calculated density   10.96 g cm⁻³
DOS(E_F)   5.55 states/eV per cell

Cell: 8.265 8.265 9.537 Å, 124.25 124.25 30.22°
Fractional positions:
Y 0.000 0.000 0.000
Y 0.314 0.314 0.315
Y 0.686 0.686 0.685
Si 0.120 0.120 0.838
Si 0.335 0.335 0.722
Si 0.665 0.665 0.278
Si 0.880 0.880 0.162
Au 0.000 0.000 0.500
Au 0.157 0.157 0.413
Au 0.317 0.317 0.963
Au 0.494 0.494 0.713
Au 0.506 0.506 0.287
Au 0.683 0.683 0.037
Au 0.843 0.843 0.587

=====

# 6
Y2Si2Au3 | PBE | relaxed

Properties
E_form (uncorrected)   -0.675 eV/atom
Calculated density   9.96 g cm⁻³
DOS(E_F)   1.98 states/eV per cell

Cell: 5.546 5.546 7.250 Å, 113.18 113.18 42.87°
Fractional positions:
Y 0.140 0.140 0.277
Y 0.860 0.860 0.723
Si 0.147 0.147 0.699
Si 0.853 0.853 0.301
Au 0.377 0.377 0.055
Au 0.500 0.500 0.500
Au 0.623 0.623 0.945

=====

# 7
YSi2Au | PBE | relaxed

Properties
E_form (uncorrected)   -0.317 eV/atom
Calculated density   7.14 g cm⁻³
DOS(E_F)   0.79 states/eV per cell

Cell: 5.809 5.809 5.809 Å, 42.04 42.04 42.04°
Fractional positions:
Y 0.000 0.000 0.000
Si 0.490 0.490 0.490
Si 0.779 0.779 0.779
Au 0.223 0.223 0.223

=====

# 8
YSiAu3 | PBE | relaxed

Properties
E_form (uncorrected)   0.864 eV/atom
Calculated density   7.61 g cm⁻³
DOS(E_F)   5.22 states/eV per cell
Distance to the lowest polymorph of the same formula   32.18 kcal/mol of atoms

Cell: 5.366 5.366 5.366 Å, 90.00 90.00 90.00°
Fractional positions:
Y 0.000 0.000 0.000
Si 0.500 0.500 0.500
Au 0.000 0.000 0.500
Au 0.000 0.500 0.000
Au 0.500 0.000 0.000

=====

# 9
YSiAu3 | PBE | relaxed

Properties
E_form (uncorrected)   -0.531 eV/atom
Calculated density   12.06 g cm⁻³
DOS(E_F)   7.00 states/eV per cell
Distance to the lowest polymorph of the same formula   0.00 kcal/mol of atoms

Cell: 9.105 4.759 8.999 Å, 90.00 90.00 90.00°
Fractional positions:
Y 0.228 0.250 0.009
Y 0.272 0.750 0.509
Y 0.728 0.250 0.491
Y 0.772 0.750 0.991
Si 0.128 0.250 0.682
Si 0.372 0.750 0.182
Si 0.628 0.250 0.818
Si 0.872 0.750 0.318
Au 0.073 0.250 0.416
Au 0.096 0.750 0.165
Au 0.113 0.750 0.832
Au 0.387 0.250 0.332
Au 0.404 0.250 0.665
Au 0.427 0.750 0.916
Au 0.573 0.250 0.084
Au 0.596 0.750 0.335
Au 0.613 0.750 0.668
Au 0.887 0.250 0.168
Au 0.904 0.250 0.835
Au 0.927 0.750 0.584

=====

# 10
YSiAu | PBE | relaxed

Properties
E_form (uncorrected)   -0.343 eV/atom
Calculated density   8.07 g cm⁻³
DOS(E_F)   1.66 states/eV per cell

Cell: 5.070 5.070 5.070 Å, 138.15 130.99 66.37°
Fractional positions:
Y 0.000 0.000 0.000
Si 0.342 0.342 0.000
Au 0.657 0.657 0.000